Here is an optimized crystal structure of LiMoPO2 from Alexandria. Energies are from PBE with a Hubbard U.

Values from the calculation:
The size of the total moment is 0.0 μB per formula unit. The symmetry is P4/mmm (123). As for the distance to the lowest polymorph of the same formula: 0.000 eV/atom. The value obtained for the density of states at the Fermi level is 0.614 states/eV/f.u.

```
LiMoPO2
1.0
3.8499 0.0000 0.0000
0.0000 3.8499 0.0000
0.0000 0.0000 5.0053
Li Mo P O
1 1 1 2
Direct
0.0000 0.0000 0.0000 Li
0.5000 0.5000 0.5000 Mo
0.5000 0.5000 0.0000 P
0.0000 0.5000 0.5000 O
0.5000 0.0000 0.5000 O
```